Version i
Computed, not measured: a geometry-optimized Zn2Ga2Au5 structure at the PBE-GGA level of DFT.

The structure belongs to space group Ima2 (No. 46); the cell edges are 15.596, 7.088 and 5.987 Å and the angles 90.00°, 90.00° and 90.00°. The inequivalent atoms are Zn at (0.150, 0.046, 0.000), Ga at (0.000, 0.000, 0.727), Ga at (0.250, 0.579, 0.137), Au at (0.056, 0.168, 0.348), Au at (0.131, 0.707, 0.832) and Au at (0.250, 0.185, 0.327).

The crystal system is orthorhombic.

---

Version ii
Computed, not measured: a geometry-optimized Zn2Ga2Au5 structure at the PBE-GGA level of DFT.

The structure belongs to space group C2/m (No. 12); the cell edges are 14.821, 4.021 and 5.738 Å and the angles 90.00°, 106.01° and 90.00°. The inequivalent atoms are Zn at (0.068, 0.000, 0.251), Ga at (0.200, 0.500, 0.657), Au at (0.000, 0.500, 0.500), Au at (0.114, 0.000, 0.819) and Au at (0.181, 0.500, 0.189).

The crystal system is monoclinic.

---

Calculated relative energies: version i 7; version ii 0, given in meV per atom